1.
{
  "formula": "LaSm2Cd2Hg2",
  "functional": "GGA-PBE",
  "state": "relaxed",
  "final_energy_ev_per_atom": -2.6951,
  "cell": [[-0.605, 1.986, 4.560], [-4.479, -0.182, 2.237], [0.517, -7.398, 6.043]],
  "species": ["La", "Sm", "Sm", "Cd", "Cd", "Hg", "Hg"],
  "fractional_positions": [[0.000, 0.000, 0.000], [0.126, 0.126, 0.622], [0.874, 0.874, 0.378], [0.744, 0.744, 0.769], [0.256, 0.256, 0.231], [0.598, 0.598, 0.207], [0.402, 0.402, 0.793]]
}

=====

2.
{
  "formula": "LaSmCdHg",
  "functional": "GGA-PBE",
  "state": "relaxed",
  "final_energy_ev_per_atom": -3.1093,
  "relative_energy_ev_per_fu": 0.04,
  "cell": [[5.468, 0.000, 0.000], [2.734, 4.735, 0.000], [2.734, 1.578, 4.464]],
  "species": ["Cd", "Hg", "Sm", "La"],
  "fractional_positions": [[0.500, 0.500, 0.500], [0.000, 0.000, 0.000], [0.250, 0.250, 0.250], [0.750, 0.750, 0.750]]
}

=====

3.
{
  "formula": "La4CdSnHg2",
  "functional": "GGA-PBE",
  "state": "relaxed",
  "final_energy_ev_per_atom": -3.6838,
  "cell": [[-1.453, -4.784, 2.395], [-0.930, -4.490, -3.116], [8.045, -5.419, 0.474]],
  "species": ["La", "La", "La", "La", "Cd", "Sn", "Hg", "Hg"],
  "fractional_positions": [[0.378, 0.378, 0.865], [0.873, 0.873, 0.381], [0.127, 0.127, 0.619], [0.622, 0.622, 0.135], [0.000, 0.000, 0.000], [0.500, 0.500, 0.500], [0.741, 0.741, 0.778], [0.259, 0.259, 0.222]]
}

=====

4.
{
  "formula": "LaTbCdHg",
  "functional": "GGA-PBE",
  "state": "relaxed",
  "final_energy_ev_per_atom": -3.0810,
  "cell": [[5.432, 0.000, 0.000], [2.716, 4.704, 0.000], [2.716, 1.568, 4.435]],
  "species": ["Cd", "Tb", "Hg", "La"],
  "fractional_positions": [[0.750, 0.750, 0.750], [0.500, 0.500, 0.500], [0.250, 0.250, 0.250], [0.000, 0.000, 0.000]]
}

=====

5.
{
  "formula": "LaTbCd2Hg4",
  "functional": "GGA-PBE",
  "state": "relaxed",
  "final_energy_ev_per_atom": -1.9918,
  "cell": [[5.180, 0.000, 0.000], [2.590, 4.486, 0.000], [2.590, 1.495, 8.486]],
  "species": ["La", "Tb", "Cd", "Cd", "Hg", "Hg", "Hg", "Hg"],
  "fractional_positions": [[0.000, 0.000, 0.000], [0.500, 0.500, 0.500], [0.750, 0.750, 0.751], [0.250, 0.250, 0.249], [0.379, 0.379, 0.864], [0.872, 0.872, 0.385], [0.128, 0.128, 0.615], [0.621, 0.621, 0.136]]
}

=====

6.
{
  "formula": "LaThCdHg",
  "functional": "GGA-PBE",
  "state": "relaxed",
  "final_energy_ev_per_atom": -3.6234,
  "cell": [[-4.923, 2.015, -1.300], [-2.286, -1.250, -4.817], [-4.354, -3.316, -0.186]],
  "species": ["Cd", "Hg", "Th", "La"],
  "fractional_positions": [[0.750, 0.750, 0.750], [0.250, 0.250, 0.250], [0.500, 0.500, 0.500], [0.000, 0.000, 0.000]]
}

=====

7.
{
  "formula": "La4TlCd2Hg",
  "functional": "GGA-PBE",
  "state": "relaxed",
  "final_energy_ev_per_atom": -3.4231,
  "cell": [[-1.788, 1.746, -4.978], [2.956, -1.145, -4.580], [-4.258, -7.569, -4.243]],
  "species": ["La", "La", "La", "La", "Tl", "Cd", "Cd", "Hg"],
  "fractional_positions": [[0.377, 0.377, 0.870], [0.873, 0.873, 0.380], [0.127, 0.127, 0.620], [0.623, 0.623, 0.130], [0.000, 0.000, 0.000], [0.749, 0.749, 0.753], [0.251, 0.251, 0.247], [0.500, 0.500, 0.500]]
}

=====

8.
{
  "formula": "La4TlCdHg2",
  "functional": "GGA-PBE",
  "state": "relaxed",
  "final_energy_ev_per_atom": -3.3842,
  "cell": [[-5.188, -0.971, -1.757], [-3.658, -2.490, 3.371], [-5.551, 6.984, 3.725]],
  "species": ["La", "La", "La", "La", "Tl", "Cd", "Hg", "Hg"],
  "fractional_positions": [[0.375, 0.375, 0.874], [0.875, 0.875, 0.376], [0.125, 0.125, 0.624], [0.625, 0.625, 0.126], [0.000, 0.000, 0.000], [0.500, 0.500, 0.500], [0.752, 0.752, 0.744], [0.248, 0.248, 0.256]]
}

=====

9.
{
  "formula": "LaTmCdHg",
  "functional": "GGA-PBE",
  "state": "relaxed",
  "final_energy_ev_per_atom": -3.0308,
  "cell": [[5.399, 0.000, 0.000], [2.699, 4.675, 0.000], [2.699, 1.558, 4.408]],
  "species": ["Cd", "Tm", "Hg", "La"],
  "fractional_positions": [[0.750, 0.750, 0.750], [0.000, 0.000, 0.000], [0.250, 0.250, 0.250], [0.500, 0.500, 0.500]]
}

=====

10.
{
  "formula": "LaTm2Cd2Hg2",
  "functional": "GGA-PBE",
  "state": "relaxed",
  "final_energy_ev_per_atom": -2.6030,
  "cell": [[4.960, 0.000, 0.000], [2.480, 4.296, 0.000], [2.480, 1.432, 8.955]],
  "species": ["La", "Tm", "Tm", "Cd", "Cd", "Hg", "Hg"],
  "fractional_positions": [[0.000, 0.000, 0.000], [0.127, 0.127, 0.618], [0.873, 0.873, 0.382], [0.594, 0.594, 0.218], [0.406, 0.406, 0.782], [0.753, 0.753, 0.742], [0.247, 0.247, 0.258]]
}

=====

11.
{
  "formula": "LaTm2CdHg4",
  "functional": "GGA-PBE",
  "state": "relaxed",
  "final_energy_ev_per_atom": -2.3935,
  "cell": [[5.068, 0.000, 0.000], [2.534, 4.389, 0.000], [2.534, 1.463, 9.309]],
  "species": ["La", "Tm", "Tm", "Cd", "Hg", "Hg", "Hg", "Hg"],
  "fractional_positions": [[0.000, 0.000, 0.000], [0.762, 0.762, 0.713], [0.238, 0.238, 0.287], [0.500, 0.500, 0.500], [0.385, 0.385, 0.845], [0.876, 0.876, 0.373], [0.124, 0.124, 0.627], [0.615, 0.615, 0.155]]
}

=====

12.
{
  "formula": "LaZr2CdHg",
  "functional": "GGA-PBE",
  "state": "relaxed",
  "final_energy_ev_per_atom": -3.8162,
  "cell": [[-0.807, -2.132, 4.804], [2.352, -4.956, -1.804], [4.789, 1.705, 1.561]],
  "species": ["Cd", "Hg", "Zr", "Zr", "La"],
  "fractional_positions": [[0.000, 0.000, 0.000], [0.500, 0.500, 0.500], [0.000, 0.000, 0.500], [0.500, 0.000, 0.000], [0.000, 0.500, 0.000]]
}

=====

13.
{
  "formula": "LiCd5Hg12",
  "functional": "GGA-PBE",
  "state": "relaxed",
  "final_energy_ev_per_atom": -0.5785,
  "cell": [[6.010, 0.000, 0.414], [3.005, 5.546, 0.207], [1.073, 0.000, 13.616]],
  "species": ["Li", "Cd", "Cd", "Cd", "Cd", "Cd", "Hg", "Hg", "Hg", "Hg", "Hg", "Hg", "Hg", "Hg", "Hg", "Hg", "Hg", "Hg"],
  "fractional_positions": [[0.000, 0.000, 0.000], [0.500, 0.000, 0.500], [0.193, 0.614, 0.500], [0.807, 0.386, 0.500], [0.683, 0.634, 0.000], [0.317, 0.366, 0.000], [0.909, 0.000, 0.347], [0.091, 0.000, 0.653], [0.719, 0.000, 0.852], [0.281, 0.000, 0.148], [0.354, 0.701, 0.835], [0.945, 0.701, 0.165], [0.055, 0.299, 0.835], [0.646, 0.299, 0.165], [0.458, 0.321, 0.676], [0.779, 0.679, 0.676], [0.221, 0.321, 0.324], [0.542, 0.679, 0.324]]
}

=====

14.
{
  "formula": "Li2Cd3Hg2",
  "functional": "GGA-PBE",
  "state": "relaxed",
  "final_energy_ev_per_atom": -1.1517,
  "relative_energy_ev_per_fu": 0.52,
  "cell": [[0.008, -0.120, -4.708], [2.575, -1.766, 0.049], [-6.091, -8.802, 2.808]],
  "species": ["Li", "Li", "Cd", "Cd", "Cd", "Hg", "Hg"],
  "fractional_positions": [[0.427, 0.500, 0.844], [0.573, 0.500, 0.156], [0.292, 0.000, 0.580], [0.000, 0.000, 0.000], [0.708, 0.000, 0.420], [0.124, 0.000, 0.266], [0.876, 0.000, 0.734]]
}

=====

15.
{
  "formula": "Li8Cd5Hg",
  "functional": "GGA-PBE",
  "state": "relaxed",
  "final_energy_ev_per_atom": -1.6083,
  "cell": [[-5.409, 4.531, -0.787], [0.056, -4.649, -5.366], [-0.794, -3.435, 6.163]],
  "species": ["Li", "Li", "Li", "Li", "Li", "Li", "Li", "Li", "Cd", "Cd", "Cd", "Cd", "Cd", "Hg"],
  "fractional_positions": [[0.138, 0.708, 0.050], [0.950, 0.088, 0.657], [0.758, 0.271, 0.360], [0.640, 0.399, 0.911], [0.513, 0.601, 0.242], [0.570, 0.912, 0.862], [0.343, 0.292, 0.430], [0.089, 0.729, 0.487], [0.013, 0.318, 0.108], [0.892, 0.905, 0.210], [0.790, 0.682, 0.696], [0.500, 0.000, 0.500], [0.304, 0.095, 0.987], [0.250, 0.500, 0.750]]
}

=====

16.
{
  "formula": "Li12Cd2Hg5",
  "functional": "GGA-PBE",
  "state": "relaxed",
  "final_energy_ev_per_atom": -1.6287,
  "cell": [[-6.155, -0.737, -3.831], [6.493, -2.731, -2.976], [-0.911, -6.688, 2.749]],
  "species": ["Li", "Li", "Li", "Li", "Li", "Li", "Li", "Li", "Li", "Li", "Li", "Li", "Cd", "Cd", "Hg", "Hg", "Hg", "Hg", "Hg"],
  "fractional_positions": [[0.818, 0.637, 0.111], [0.023, 0.644, 0.767], [0.620, 0.644, 0.767], [0.152, 0.779, 0.364], [0.626, 0.779, 0.364], [0.448, 0.896, 0.711], [0.552, 0.104, 0.289], [0.848, 0.221, 0.636], [0.374, 0.221, 0.636], [0.977, 0.356, 0.233], [0.380, 0.356, 0.233], [0.182, 0.363, 0.889], [0.799, 0.000, 0.000], [0.201, 0.000, 0.000], [0.257, 0.515, 0.532], [0.349, 0.699, 0.073], [0.000, 0.000, 0.500], [0.651, 0.301, 0.927], [0.743, 0.485, 0.468]]
}

=====

17.
{
  "formula": "Li2CdHg",
  "functional": "GGA-PBE",
  "state": "relaxed",
  "final_energy_ev_per_atom": -1.4722,
  "relative_energy_ev_per_fu": 0.43,
  "cell": [[9.764, 0.096, 0.057], [9.238, 3.163, 0.057], [9.238, 1.584, 2.738]],
  "species": ["Cd", "Hg", "Li", "Li"],
  "fractional_positions": [[0.250, 0.250, 0.250], [0.750, 0.750, 0.750], [0.002, 0.002, 0.002], [0.498, 0.498, 0.498]]
}

=====

18.
{
  "formula": "Li4Cd2Hg",
  "functional": "GGA-PBE",
  "state": "relaxed",
  "final_energy_ev_per_atom": -1.6133,
  "relative_energy_ev_per_fu": 0.00,
  "cell": [[4.559, 0.000, 1.424], [2.057, 4.068, 1.424], [0.203, 0.125, 7.357]],
  "species": ["Li", "Li", "Li", "Li", "Cd", "Cd", "Hg"],
  "fractional_positions": [[0.865, 0.865, 0.406], [0.135, 0.135, 0.594], [0.584, 0.584, 0.249], [0.416, 0.416, 0.751], [0.728, 0.728, 0.817], [0.272, 0.272, 0.183], [0.000, 0.000, 0.000]]
}

=====

19.
{
  "formula": "LiCd2Hg",
  "functional": "GGA-PBE",
  "state": "relaxed",
  "final_energy_ev_per_atom": -1.1424,
  "cell": [[-3.321, -2.456, -3.281], [1.631, -3.179, 3.881], [-2.617, 0.988, 1.909]],
  "species": ["Li", "Hg", "Cd", "Cd"],
  "fractional_positions": [[0.000, 0.500, 0.500], [0.500, 0.000, 0.500], [0.000, 0.000, 0.000], [0.500, 0.500, 0.000]]
}

=====

20.
{
  "formula": "LiCd4Hg",
  "functional": "GGA-PBE",
  "state": "relaxed",
  "final_energy_ev_per_atom": -0.9846,
  "relative_energy_ev_per_fu": 0.57,
  "cell": [[3.205, -0.479, 4.863], [1.508, 4.790, 2.989], [-2.418, 1.074, 5.210]],
  "species": ["Li", "Cd", "Cd", "Cd", "Cd", "Hg"],
  "fractional_positions": [[0.000, 0.000, 0.000], [0.875, 0.375, 0.375], [0.375, 0.375, 0.875], [0.375, 0.875, 0.375], [0.375, 0.375, 0.375], [0.750, 0.750, 0.750]]
}

=====

21.
{
  "formula": "LiCdHg4",
  "functional": "GGA-PBE",
  "state": "relaxed",
  "final_energy_ev_per_atom": -0.6249,
  "relative_energy_ev_per_fu": 0.96,
  "cell": [[-5.807, -1.716, 0.219], [-3.981, 3.190, 3.269], [-4.244, 3.310, -2.783]],
  "species": ["Li", "Cd", "Hg", "Hg", "Hg", "Hg"],
  "fractional_positions": [[0.750, 0.750, 0.750], [0.000, 0.000, 0.000], [0.874, 0.375, 0.375], [0.375, 0.375, 0.874], [0.375, 0.874, 0.375], [0.375, 0.375, 0.375]]
}

=====

22.
{
  "formula": "Li3CdHg4",
  "functional": "GGA-PBE",
  "state": "relaxed",
  "final_energy_ev_per_atom": -1.2738,
  "relative_energy_ev_per_fu": 0.00,
  "cell": [[-0.280, -2.511, 4.130], [-0.737, -5.736, -3.538], [9.613, -1.192, -0.072]],
  "species": ["Cd", "Cd", "Hg", "Hg", "Hg", "Hg", "Hg", "Hg", "Hg", "Hg", "Li", "Li", "Li", "Li", "Li", "Li"],
  "fractional_positions": [[0.000, 0.500, 0.000], [0.000, 0.500, 0.500], [0.500, 0.768, 0.000], [0.500, 0.768, 0.500], [0.500, 0.232, 0.000], [0.500, 0.232, 0.500], [0.001, 0.768, 0.750], [0.999, 0.768, 0.250], [0.999, 0.232, 0.250], [0.001, 0.232, 0.750], [0.000, 0.000, 0.000], [0.000, 0.000, 0.500], [0.501, 0.000, 0.750], [0.499, 0.000, 0.250], [0.501, 0.500, 0.750], [0.499, 0.500, 0.250]]
}

=====

23.
{
  "formula": "LiCdHg6",
  "functional": "GGA-PBE",
  "state": "relaxed",
  "final_energy_ev_per_atom": -0.6513,
  "relative_energy_ev_per_fu": 0.04,
  "cell": [[4.884, 0.000, 0.000], [0.000, 6.479, -2.754], [0.000, -1.053, 6.519]],
  "species": ["Li", "Cd", "Hg", "Hg", "Hg", "Hg", "Hg", "Hg"],
  "fractional_positions": [[0.500, 0.586, 0.173], [0.000, 0.912, 0.824], [0.000, 0.898, 0.320], [0.000, 0.422, 0.320], [0.000, 0.421, 0.841], [0.500, 0.586, 0.675], [0.500, 0.089, 0.675], [0.500, 0.086, 0.173]]
}

=====

24.
{
  "formula": "LiCdHg3",
  "functional": "GGA-PBE",
  "state": "relaxed",
  "final_energy_ev_per_atom": -0.7130,
  "relative_energy_ev_per_fu": 0.89,
  "cell": [[5.150, 0.000, 0.000], [0.000, 5.150, 0.000], [0.000, 0.000, 5.150]],
  "species": ["Li", "Hg", "Hg", "Hg", "Cd"],
  "fractional_positions": [[0.000, 0.000, 0.000], [0.000, 0.500, 0.000], [0.000, 0.000, 0.500], [0.500, 0.000, 0.000], [0.500, 0.500, 0.500]]
}

=====

25.
{
  "formula": "Li6CdHg2",
  "functional": "GGA-PBE",
  "state": "relaxed",
  "final_energy_ev_per_atom": -1.6756,
  "relative_energy_ev_per_fu": 0.20,
  "cell": [[2.838, 0.000, 0.758], [0.440, 7.145, 4.045], [-0.665, 0.436, 8.184]],
  "species": ["Li", "Li", "Li", "Li", "Li", "Li", "Cd", "Hg", "Hg"],
  "fractional_positions": [[0.169, 0.506, 0.157], [0.831, 0.494, 0.843], [0.831, 0.843, 0.494], [0.000, 0.171, 0.829], [0.000, 0.829, 0.171], [0.169, 0.157, 0.506], [0.500, 0.500, 0.500], [0.347, 0.153, 0.153], [0.653, 0.847, 0.847]]
}

=====

Results for DFT formation energy: -0.30 -0.39 -0.53 -0.39 -0.42 -0.23 -0.40 -0.43 -0.38 -0.27 -0.39 0.83 -0.02 -0.13 -0.17 -0.24 -0.21 -0.22 -0.13 -0.01 0.05 -0.29 -0.07 0.03 -0.23 (in eV per atom, following the order of the records).